# MgMnI2O | the Alexandria database | PBE with a Hubbard U | optimized geometry
data_MgMnI2O
_symmetry_space_group_name_H-M 'P 4/m m m'
_symmetry_Int_Tables_number 123
_symmetry_space_group_name_Hall '-P 4 2'
_cell_length_a 5.8002
_cell_length_b 5.8002
_cell_length_c 3.7844
_cell_angle_alpha 90.00
_cell_angle_beta 90.00
_cell_angle_gamma 90.00
loop_
_atom_site_label
_atom_site_fract_x
_atom_site_fract_y
_atom_site_fract_z
Mg1 0.0000 0.0000 0.0000
Mn1 0.5000 0.5000 0.5000
I1 0.0000 0.5000 0.5000
O1 0.5000 0.5000 0.0000
# Spin magnetization   0.8921 μB per atom
# Excess energy over the best structure of this formula in the dataset   0 meV/atom
# Crystal system   tetragonal